Entry 1:
Density functional theory data (PBE-GGA) for CaYBe2 after structural relaxation.

Properties
The crystal system is orthorhombic. For the formation energy from the elements, the calculation gives 0.274 eV/atom. As for the space group: Imm2. The distance to the lowest polymorph of the same formula is 74 meV per atom. The value obtained for the magnetic moment is 0.00 Bohr magnetons per cell.

a b c (Å): 5.732 5.732 5.732
angles (deg): 145.70 130.31 61.77
Element x y z (fractional)
Ca1 0.000 0.000 0.000
Y1 0.301 0.801 0.500
Be1 0.573 0.573 0.000
Be2 0.716 0.216 0.500

Entry 2:
Density functional theory data (PBE-GGA) for SrLa3Os after structural relaxation.

Properties
The crystal system is orthorhombic. For the formation energy from the elements, the calculation gives 0.493 eV/atom. As for the space group: Amm2. The distance to the lowest polymorph of the same formula is 576 meV per atom. The value obtained for the magnetic moment is 0.75 Bohr magnetons per cell.

a b c (Å): 4.086 10.648 10.648
angles (deg): 40.86 90.00 90.00
Element x y z (fractional)
Sr1 0.000 0.000 0.000
La1 0.000 0.433 0.934
La2 0.000 0.934 0.433
La3 0.500 0.823 0.823
Os1 0.500 0.693 0.693

Entry 3:
Density functional theory data (PBE-GGA) for V3RuRh2 after structural relaxation.

Properties
The crystal system is orthorhombic. For the formation energy from the elements, the calculation gives -0.290 eV/atom. As for the space group: Cmmm. The value obtained for the magnetic moment is 0.00 Bohr magnetons per cell.

a b c (Å): 6.237 6.237 7.157
angles (deg): 90.00 90.00 143.60
Element x y z (fractional)
V1 0.000 0.000 0.248
V2 0.000 0.000 0.752
V3 0.332 0.668 0.244
V4 0.332 0.668 0.756
V5 0.668 0.332 0.244
V6 0.668 0.332 0.756
Ru1 0.164 0.836 0.000
Ru2 0.836 0.164 0.000
Rh1 0.167 0.833 0.500
Rh2 0.500 0.500 0.000
Rh3 0.500 0.500 0.500
Rh4 0.833 0.167 0.500

Entry 4:
Density functional theory data (PBE-GGA) for GdZr3N after structural relaxation.

Properties
The crystal system is cubic. Its formation energy (no corrections) is -551 meV/atom. As for the space group: Pm-3m. The value obtained for the magnetic moment is 7.50 Bohr magnetons per cell.

a b c (Å): 4.656 4.656 4.656
angles (deg): 90.00 90.00 90.00
Element x y z (fractional)
Gd1 0.000 0.000 0.000
Zr1 0.000 0.500 0.500
Zr2 0.500 0.000 0.500
Zr3 0.500 0.500 0.000
N1 0.500 0.500 0.500

Entry 5:
Density functional theory data (PBE-GGA) for AcTmBiO2 after structural relaxation.

Properties
The crystal system is orthorhombic. Its formation energy (no corrections) is -2651 meV/atom. As for the space group: Cmcm. The value obtained for the magnetic moment is 0.00 Bohr magnetons per cell.

a b c (Å): 7.646 7.646 5.681
angles (deg): 90.00 90.00 135.89
Element x y z (fractional)
Ac1 0.095 0.905 0.750
Ac2 0.905 0.095 0.250
Tm1 0.430 0.570 0.750
Tm2 0.570 0.430 0.250
Bi1 0.250 0.750 0.250
Bi2 0.750 0.250 0.750
O1 0.264 0.264 0.000
O2 0.264 0.264 0.500
O3 0.736 0.736 0.000
O4 0.736 0.736 0.500